Run w
## Sc2TlP (meta-GGA SCAN)

Data for Sc2TlP at its PBEsol-relaxed geometry.

The structure in POSCAR format:
```
Sc2TlP
1.0
-2.811 0.987 1.240
-0.887 -1.176 -2.871
-1.062 -7.076 3.227
P Sc Tl
1 2 1
Direct
0.500 0.500 0.000
0.000 0.000 0.205
0.000 0.000 0.795
0.500 0.500 0.500
```

Calculated values
density of states at the Fermi level: 0.672 states/eV per atom
spin magnetization: 0.00 μB/atom
ρ: 6.76 g/cm3
volume: 20.0 Å³/atom

=====

Run x
## Sc2TlP (meta-GGA SCAN)

Data for Sc2TlP at its PBEsol-relaxed geometry.

The structure in POSCAR format:
```
Sc2TlP
1.0
-0.618 2.554 2.710
-3.454 1.706 -2.396
-2.846 -2.872 2.058
P Sc Tl
1 2 1
Direct
0.500 0.000 0.000
0.000 0.000 0.500
0.000 0.500 0.000
0.500 0.500 0.500
```

Calculated values
density of states at the Fermi level: 0.799 states/eV per atom
spin magnetization: 0.26 μB/atom
ρ: 6.95 g/cm3
volume: 19.4 Å³/atom

=====

run w is the most stable structure; the next one sits 0.196 eV/atom above it.

=====

Run w
## Sr2PSe (meta-GGA SCAN)

Data for Sr2PSe at its PBEsol-relaxed geometry.

The structure in POSCAR format:
```
Sr2PSe
1.0
4.252 -0.049 -0.028
-2.083 3.707 0.028
-2.091 -1.232 7.505
P Se Sr
1 1 2
Direct
0.500 0.000 0.500
0.500 0.500 0.000
0.997 0.249 0.246
0.003 0.751 0.754
```

Calculated values
density of states at the Fermi level: 0.340 states/eV per atom
spin magnetization: 0.24 μB/atom
ρ: 4.03 g/cm3
volume: 29.4 Å³/atom

=====

Run x
## Sr2PSe (meta-GGA SCAN)

Data for Sr2PSe at its PBEsol-relaxed geometry.

The structure in POSCAR format:
```
Sr2PSe
1.0
-2.603 4.570 -0.211
-5.117 0.173 1.223
-1.566 2.344 4.445
P Se Sr
1 1 2
Direct
0.000 0.000 0.000
0.500 0.500 0.500
0.250 0.250 0.250
0.750 0.750 0.750
```

Calculated values
density of states at the Fermi level: 0.798 states/eV per atom
spin magnetization: 0.20 μB/atom
ρ: 4.59 g/cm3
volume: 25.8 Å³/atom

=====

run w is the most stable structure; the next one sits 0.214 eV/atom above it.

=====

Run w
## Sr2PSe (meta-GGA SCAN)

Data for Sr2PSe at its PBEsol-relaxed geometry.

The structure in POSCAR format:
```
Sr2PSe
1.0
5.193 0.000 0.000
2.596 4.497 0.000
2.596 1.499 4.240
P Se Sr
1 1 2
Direct
0.500 0.500 0.500
0.250 0.250 0.250
0.000 0.000 0.000
0.750 0.750 0.750
```

Calculated values
density of states at the Fermi level: 1.080 states/eV per atom
spin magnetization: 0.00 μB/atom
ρ: 4.78 g/cm3
volume: 24.8 Å³/atom

=====

Run x
## Sr2PSe (meta-GGA SCAN)

Data for Sr2PSe at its PBEsol-relaxed geometry.

The structure in POSCAR format:
```
Sr2PSe
1.0
-3.325 -2.465 -1.106
1.323 -3.014 2.742
-2.207 5.172 3.402
P Se Sr
1 1 2
Direct
0.000 0.000 0.000
0.250 0.750 0.500
0.500 0.500 0.000
0.750 0.250 0.500
```

Calculated values
density of states at the Fermi level: 0.622 states/eV per atom
spin magnetization: 0.00 μB/atom
ρ: 4.42 g/cm3
volume: 26.8 Å³/atom

=====

run x is the most stable structure; the next one sits 0.723 eV/atom above it.

=====

Run w
## Te2PSe (meta-GGA SCAN)

Data for Te2PSe at its PBEsol-relaxed geometry.

The structure in POSCAR format:
```
Te2PSe
1.0
-2.988 -1.807 -1.418
0.325 -1.949 -3.210
1.266 -8.380 3.003
P Te Se
1 2 1
Direct
0.500 0.500 0.500
0.899 0.899 0.304
0.101 0.101 0.696
0.000 0.000 0.000
```

Calculated values
density of states at the Fermi level: 0.493 states/eV per atom
spin magnetization: 0.00 μB/atom
ρ: 5.65 g/cm3
volume: 26.8 Å³/atom

=====

Run x
## Te2PSe (meta-GGA SCAN)

Data for Te2PSe at its PBEsol-relaxed geometry.

The structure in POSCAR format:
```
Te2PSe
1.0
-3.885 1.128 -0.086
-2.863 -2.681 -0.996
-2.899 -2.256 6.189
P Te Se
1 2 1
Direct
0.000 0.000 0.000
0.743 0.743 0.771
0.257 0.257 0.229
0.500 0.500 0.500
```

Calculated values
density of states at the Fermi level: 0.542 states/eV per atom
spin magnetization: 0.00 μB/atom
ρ: 6.28 g/cm3
volume: 24.1 Å³/atom

=====

run x is the most stable structure; the next one sits 0.155 eV/atom above it.